Record 1
Material: La2ZrGe2
Method: DFT, SCAN
State: PBEsol geometry

The space group is P4/mbm (No. 127) and the conventional cell measures 7.608, 7.608 and 4.316 Å, with angles of 90.00, 90.00 and 90.00 degrees. The inequivalent atoms are La at (0.152, 0.348, 0.000), Zr at (0.000, 0.000, 0.500) and Ge at (0.155, 0.655, 0.500).

Its energy of formation is -0.755 eV/atom.

Record 2
Material: LiLuGe
Method: DFT, SCAN
State: PBEsol geometry

The space group is P-62m (No. 189) and the conventional cell measures 6.8083, 6.8083 and 4.1550 Å, with angles of 90.00, 90.00 and 120.00 degrees. The inequivalent atoms are Li at (0.0000, 0.2325, 0.0000), Lu at (0.0000, 0.5703, 0.5000), Ge at (0.0000, 0.0000, 0.5000) and Ge at (0.3333, 0.6667, 0.0000).

Its energy of formation is -0.736 eV/atom.

Record 3
Material: Li2MgGe2
Method: DFT, SCAN
State: PBEsol geometry

The space group is I4/mmm (No. 139) and the conventional cell measures 3.848, 3.848 and 11.771 Å, with angles of 90.00, 90.00 and 90.00 degrees. The inequivalent atoms are Li at (0.000, 0.500, 0.250), Mg at (0.000, 0.000, 0.000) and Ge at (0.000, 0.000, 0.399).

Its energy of formation is -0.208 eV/atom. As for the offset from the most stable computed form: 26 meV/atom.

Record 4
Material: Li2Mg2Ge
Method: DFT, SCAN
State: PBEsol geometry

The space group is I4/mmm (No. 139) and the conventional cell measures 3.490, 3.490 and 16.213 Å, with angles of 90.00, 90.00 and 90.00 degrees. The inequivalent atoms are Li at (0.000, 0.500, 0.250), Mg at (0.000, 0.000, 0.098) and Ge at (0.000, 0.000, 0.500).

Its energy of formation is 0.086 eV/atom. As for the offset from the most stable computed form: 185 meV/atom.

Record 5
Material: Li3MgGe
Method: DFT, SCAN
State: PBEsol geometry

The space group is Pm-3m (No. 221) and the conventional cell measures 4.746, 4.746 and 4.746 Å, with angles of 90.00, 90.00 and 90.00 degrees. The inequivalent atoms are Li at (0.000, 0.000, 0.500), Mg at (0.500, 0.500, 0.500) and Ge at (0.000, 0.000, 0.000).

Its energy of formation is 0.035 eV/atom.

Record 6
Material: Li2Mg2Ge
Method: DFT, SCAN
State: PBEsol geometry

The space group is P4/mbm (No. 127) and the conventional cell measures 6.380, 6.380 and 4.364 Å, with angles of 90.00, 90.00 and 90.00 degrees. The inequivalent atoms are Li at (0.139, 0.361, 0.000), Mg at (0.179, 0.679, 0.500) and Ge at (0.000, 0.000, 0.000).

Its energy of formation is -0.099 eV/atom. As for the offset from the most stable computed form: 0 meV/atom.

Record 7
Material: Li2MgGe2
Method: DFT, SCAN
State: PBEsol geometry

The space group is P4/mbm (No. 127) and the conventional cell measures 7.124, 7.124 and 3.395 Å, with angles of 90.00, 90.00 and 90.00 degrees. The inequivalent atoms are Li at (0.173, 0.327, 0.000), Mg at (0.000, 0.000, 0.500) and Ge at (0.124, 0.624, 0.500).

Its energy of formation is -0.233 eV/atom. As for the offset from the most stable computed form: 0 meV/atom.

Record 8
Material: LiMn3Ge
Method: DFT, SCAN
State: PBEsol geometry

The space group is Pm-3m (No. 221) and the conventional cell measures 4.002, 4.002 and 4.002 Å, with angles of 90.00, 90.00 and 90.00 degrees. The inequivalent atoms are Li at (0.000, 0.000, 0.000), Mn at (0.000, 0.000, 0.500) and Ge at (0.500, 0.500, 0.500).

Its energy of formation is 0.717 eV/atom.

Record 9
Material: LiGe2Mo
Method: DFT, SCAN
State: PBEsol geometry

The space group is Fm-3m (No. 225) and the conventional cell measures 6.176, 6.176 and 6.176 Å, with angles of 90.00, 90.00 and 90.00 degrees. The inequivalent atoms are Li at (0.000, 0.000, 0.000), Ge at (0.250, 0.250, 0.250) and Mo at (0.000, 0.000, 0.500).

Its energy of formation is 0.076 eV/atom.

Record 10
Material: Li2GeN2
Method: DFT, SCAN
State: PBEsol geometry

The space group is P2_1/c (No. 14) and the conventional cell measures 5.481, 6.609 and 5.503 Å, with angles of 90.00, 91.94 and 90.00 degrees. The inequivalent atoms are Li at (0.054, 0.160, 0.229), Li at (0.314, 0.098, 0.907), Ge at (0.349, 0.638, 0.926), N at (0.227, 0.648, 0.604) and N at (0.300, 0.122, 0.550).

The calculation puts the formation energy (no corrections) at -271 kJ/mol of formula units.

Record 11
Material: LiGe3N
Method: DFT, SCAN
State: PBEsol geometry

The space group is Pm-3m (No. 221) and the conventional cell measures 4.313, 4.313 and 4.313 Å, with angles of 90.00, 90.00 and 90.00 degrees. The inequivalent atoms are Li at (0.000, 0.000, 0.000), Ge at (0.000, 0.000, 0.500) and N at (0.500, 0.500, 0.500).

The calculation puts the formation energy (no corrections) at 701 kJ/mol of formula units.

Record 12
Material: LiGeNO2
Method: DFT, SCAN
State: PBEsol geometry

The space group is P4/mmm (No. 123) and the conventional cell measures 3.624, 3.624 and 3.825 Å, with angles of 90.00, 90.00 and 90.00 degrees. The inequivalent atoms are Li at (0.000, 0.000, 0.000), Ge at (0.500, 0.500, 0.500), N at (0.000, 0.000, 0.500) and O at (0.000, 0.500, 0.000).

The calculation puts the formation energy (no corrections) at 228 kJ/mol of formula units.

| no. | VASP energy (hartree per atom) |
| --- | --- |
| 1 | -1.16760 |
| 2 | -0.96811 |
| 3 | -0.35990 |
| 4 | -0.24536 |
| 5 | -0.22826 |
| 6 | -0.25218 |
| 7 | -0.36085 |
| 8 | -0.53404 |
| 9 | -0.69040 |
| 10 | -0.33266 |
| 11 | -0.45334 |
| 12 | -0.30040 |